First-principles (PBE) data for NbCr2TcAu after structural relaxation, as listed in Alexandria via LeMat-Bulk.

## Properties
Size of the total moment: 0.005 μB per formula unit
Density of states at the Fermi level: 7.99 states/eV per cell
ΔE_f: 45.177 kcal/mol of atoms

Cell: 4.3448 5.0094 4.3448 Å, 90.00 90.00 90.00°
Element x y z (fractional)
Cr  0.0000  0.0000  0.5000
Cr  0.5000  0.0000  0.0000
Tc  0.5000  0.5000  0.5000
Au  0.0000  0.5000  0.0000
Nb  0.0000  0.0000  0.0000